PaNiP2O8 after structural relaxation. Source: the Alexandria database, functional GGA+U.

```
12
Lattice="4.898 0.000 0.000 -2.449 4.242 0.000 0.000 0.000 6.312" Properties=species:S:1:pos:R:3 pbc="T T T"
Pa 0.000 0.000 0.000
Ni 0.000 0.000 3.156
P 0.000 2.828 1.903
P 2.449 1.414 4.409
O 0.000 1.365 4.450
O -1.267 3.559 4.450
O 1.182 0.682 1.861
O 0.000 2.828 0.378
O 2.449 1.414 5.933
O 1.267 3.559 4.450
O 3.716 0.682 1.861
O 2.449 2.877 1.861
```

## Properties
Raw total energy   -6.35 eV/atom